No. 1
First-principles (PBE-GGA) data for a relaxed structure of PaTiZn4, as listed in the Alexandria database.

Output
- Space group: No. 191
- Volume: 17.4 Å³ per atom
- Spin magnetization: 0.01 μB per formula unit
- Raw total energy: -23.04 eV for the cell shown
- Energy of formation from the pure elements: -0.093 eV per atom
- Energy above the lowest structure with this stoichiometry: 0.10 eV per formula unit

```
PaTiZn4
1.0
4.500 0.000 0.000
-2.250 3.897 0.000
0.000 0.000 5.963
Pa Ti Zn
1 1 4
Direct
0.000 0.000 0.500
0.000 0.000 0.000
0.333 0.667 0.233
0.333 0.667 0.767
0.667 0.333 0.233
0.667 0.333 0.767
```


No. 2
First-principles (PBE-GGA) data for a relaxed structure of Nb4OsRh5, as listed in the Alexandria database.

Output
- Space group: No. 2
- Volume: 15.7 Å³ per atom
- Spin magnetization: 0.00 μB per formula unit
- Raw total energy: -92.15 eV for the cell shown
- Energy of formation from the pure elements: -0.388 eV per atom

```
Nb4OsRh5
1.0
-4.298 -1.533 -1.479
0.479 -0.184 -5.578
3.112 -5.208 1.982
Nb Os Rh
4 1 5
Direct
0.692 0.309 0.376
0.129 0.882 0.192
0.308 0.691 0.624
0.871 0.118 0.808
0.500 0.000 0.000
0.285 0.191 0.595
0.104 0.404 0.205
0.896 0.596 0.795
0.500 0.500 0.000
0.715 0.809 0.405
```


No. 3
First-principles (PBE-GGA) data for a relaxed structure of LiY2Mg, as listed in the Alexandria database.

Output
- Space group: No. 122
- Volume: 27.1 Å³ per atom
- Spin magnetization: 0.47 μB per formula unit
- Raw total energy: -30.45 eV for the cell shown
- Energy of formation from the pure elements: 0.303 eV per atom

```
LiY2Mg
1.0
8.365 0.000 0.000
0.000 8.365 0.000
4.182 4.182 3.098
Y Mg Li
4 2 2
Direct
0.603 0.125 0.250
0.147 0.625 0.250
0.375 0.397 0.750
0.875 0.853 0.750
0.000 0.000 0.000
0.750 0.250 0.500
0.500 0.500 0.000
0.250 0.750 0.500
```


No. 4
First-principles (PBE-GGA) data for a relaxed structure of Os2Ru, as listed in the Alexandria database.

Output
- Space group: No. 191
- Volume: 14.7 Å³ per atom
- Spin magnetization: 0.00 μB per formula unit
- Raw total energy: -30.74 eV for the cell shown
- Energy of formation from the pure elements: 0.330 eV per atom
- Energy above the lowest structure with this stoichiometry: 1.04 eV per formula unit

```
Os2Ru
1.0
-3.684 0.208 2.252
0.628 -3.210 -2.825
1.115 -1.511 1.964
Os Ru
2 1
Direct
0.667 0.333 0.000
0.333 0.667 0.000
0.000 0.000 0.500
```


No. 5
First-principles (PBE-GGA) data for a relaxed structure of Li3H3Pd2, as listed in the Alexandria database.

Output
- Space group: No. 63
- Volume: 11.3 Å³ per atom
- Spin magnetization: 0.00 μB per formula unit
- Raw total energy: -57.05 eV for the cell shown
- Energy above the lowest structure with this stoichiometry: 0.03 eV per formula unit

```
Li3H3Pd2
1.0
3.369 0.000 0.000
-1.684 4.661 0.000
0.000 0.000 11.477
Li H Pd
6 6 4
Direct
0.933 0.865 0.389
0.067 0.135 0.889
0.933 0.865 0.111
0.067 0.135 0.611
0.648 0.296 0.250
0.352 0.704 0.750
0.648 0.295 0.427
0.352 0.705 0.927
0.648 0.295 0.073
0.352 0.705 0.573
0.274 0.547 0.250
0.726 0.453 0.750
0.787 0.573 0.906
0.213 0.427 0.406
0.787 0.573 0.594
0.213 0.427 0.094
```


No. 6
First-principles (PBE-GGA) data for a relaxed structure of NaAg2Br, as listed in the Alexandria database.

Output
- Space group: No. 225
- Volume: 23.2 Å³ per atom
- Spin magnetization: 0.00 μB per formula unit
- Raw total energy: -8.39 eV for the cell shown
- Uncorrected formation energy: 0.31 eV/f.u.
- Energy above the lowest structure with this stoichiometry: 0.69 eV per formula unit

```
NaAg2Br
1.0
1.214 1.259 4.770
-2.680 3.555 2.449
-3.063 -1.319 3.833
Na Br Ag
1 1 2
Direct
0.000 0.000 0.000
0.500 0.500 0.500
0.250 0.250 0.250
0.750 0.750 0.750
```


No. 7
First-principles (PBE-GGA) data for a relaxed structure of Ba2TaTe, as listed in the Alexandria database.

Output
- Space group: No. 123
- Volume: 37.0 Å³ per atom
- Spin magnetization: 4.41 μB per formula unit
- Raw total energy: -18.09 eV for the cell shown
- Uncorrected formation energy: 0.75 eV/f.u.

```
Ba2TaTe
1.0
-2.224 -0.519 -3.664
-3.309 -1.637 2.240
-3.051 7.290 0.819
Ba Ta Te
2 1 1
Direct
0.000 0.000 0.994
0.000 0.000 0.506
0.500 0.500 0.250
0.500 0.500 0.750
```


No. 8
First-principles (PBE-GGA) data for a relaxed structure of Ti6NbSb3, as listed in the Alexandria database.

Output
- Space group: No. 36
- Volume: 19.7 Å³ per atom
- Spin magnetization: 0.00 μB per formula unit
- Raw total energy: -144.55 eV for the cell shown
- Uncorrected formation energy: -2.47 eV/f.u.

```
Ti6NbSb3
1.0
-0.507 5.582 -4.364
-2.110 -4.517 -5.532
-6.974 1.185 2.326
Ti Nb Sb
12 2 6
Direct
0.164 0.719 0.573
0.664 0.573 0.719
0.334 0.578 0.952
0.834 0.952 0.578
0.125 0.113 0.887
0.635 0.218 0.782
0.135 0.782 0.218
0.625 0.887 0.113
0.334 0.048 0.422
0.834 0.422 0.048
0.164 0.427 0.281
0.664 0.281 0.427
0.962 0.340 0.660
0.462 0.660 0.340
0.462 0.888 0.746
0.962 0.746 0.888
0.343 0.387 0.613
0.843 0.613 0.387
0.962 0.112 0.254
0.462 0.254 0.112
```


> Which value of spin magnetization does entry 5 give?

0.00 μB per formula unit


> Which formula does entry 5 have?

Li3H3Pd2


> The highest volume belongs to which entry?

Ba2TaTe